{"formula": "TbNd2ThSe4", "functional": "PBE-GGA", "state": "relaxed", "formation_energy_uncorrected_mev_per_atom": -1739, "space_group": "P2/m, No. 10", "rho_kg_m3": 7935, "cell": [[4.1643, 0.0000, 0.0000], [0.0000, 7.2986, 0.1499], [0.0000, -2.5259, 6.8010]], "species": ["Tb", "Nd", "Nd", "Th", "Se", "Se", "Se", "Se"], "frac_coords": [[0.0000, 0.0000, 0.0000], [0.5000, 0.0000, 0.5000], [0.0000, 0.5000, 0.5000], [0.5000, 0.5000, 0.0000], [0.5000, 0.2419, 0.2412], [0.5000, 0.7581, 0.7588], [0.0000, 0.2457, 0.7542], [0.0000, 0.7543, 0.2458]]}

{"formula": "Tb2NdThSe4", "functional": "PBE-GGA", "state": "relaxed", "formation_energy_uncorrected_mev_per_atom": -1724, "space_group": "P2/m, No. 10", "rho_kg_m3": 8263, "cell": [[-1.3891, -1.9815, -3.3200], [6.5484, -3.0724, -0.9062], [0.1894, -6.1859, 3.6127]], "species": ["Tb", "Tb", "Nd", "Th", "Se", "Se", "Se", "Se"], "frac_coords": [[0.0000, 0.0000, 0.0000], [0.5000, 0.0000, 0.5000], [0.5000, 0.5000, 0.0000], [0.0000, 0.5000, 0.5000], [0.0000, 0.7623, 0.7455], [0.0000, 0.2377, 0.2545], [0.5000, 0.7624, 0.2459], [0.5000, 0.2376, 0.7541]]}

{"formula": "Tb2NdTh3Se6", "functional": "PBE-GGA", "state": "relaxed", "formation_energy_uncorrected_mev_per_atom": -1654, "space_group": "C2/m, No. 12", "rho_kg_m3": 8798, "cell": [[7.0609, 0.0388, 0.0155], [-3.4951, 6.1353, 0.0155], [-1.1735, -2.0319, 7.0779]], "species": ["Tb", "Tb", "Nd", "Th", "Th", "Th", "Se", "Se", "Se", "Se", "Se", "Se"], "frac_coords": [[0.3320, 0.6680, 0.0000], [0.6680, 0.3320, 0.0000], [0.0000, 0.0000, 0.0000], [0.1614, 0.8386, 0.5000], [0.8386, 0.1614, 0.5000], [0.5000, 0.5000, 0.5000], [0.9190, 0.5781, 0.7580], [0.7367, 0.7367, 0.2351], [0.0810, 0.4219, 0.2420], [0.5781, 0.9190, 0.7580], [0.2633, 0.2633, 0.7649], [0.4219, 0.0810, 0.2420]]}